The following is a DFT calculation (PBE) of a relaxed structure of NaLiPmCl5. Values from VASP.

Space-group type: C2/c
Uncorrected energy: -4.173 eV per atom
Total magnetization: 0.00 μB/f.u.
Raw formation energy: -2021 meV per atom
Mass density: 2.5 g/cm³

```
&SYSTEM
  ibrav = 0, nat = 16, ntyp = 4
/
ATOMIC_SPECIES
Na 22.99 Na.upf
Li 6.94 Li.upf
Pm 145.00 Pm.upf
Cl 35.45 Cl.upf
ATOMIC_POSITIONS crystal
Na 0.390 0.610 0.250
Na 0.610 0.390 0.750
Li 0.700 0.300 0.250
Li 0.300 0.700 0.750
Pm 0.000 0.000 0.500
Pm 0.000 0.000 0.000
Cl 0.098 0.902 0.250
Cl 0.902 0.098 0.750
Cl 0.972 0.340 0.149
Cl 0.028 0.660 0.851
Cl 0.660 0.028 0.351
Cl 0.340 0.972 0.649
Cl 0.740 0.595 0.436
Cl 0.260 0.405 0.564
Cl 0.405 0.260 0.064
Cl 0.595 0.740 0.936
CELL_PARAMETERS angstrom
-5.832 -4.281 1.418
3.227 -1.842 -6.368
6.626 -3.080 6.745
```